No. 1
TiHg2B | PBE | relaxed

a = 7.8627 Å, b = 7.8627 Å, c = 6.0381 Å
α = 49.38°, β = 49.38°, γ = 90.00°
Sites, in units of the cell vectors:
Hg: 0.8750 0.7765 0.7500
Hg: 0.5265 0.1250 0.2500
Hg: 0.2235 0.6250 0.2500
Hg: 0.3750 0.4735 0.7500
Ti: 0.0000 0.0000 0.0000
Ti: 0.7500 0.2500 0.5000
B: 0.2500 0.7500 0.5000
B: 0.5000 0.5000 0.0000

**E**: -0.2363 Ry/atom
**Size of the total moment**: 0.00 μB per formula unit
**Space-group type**: No. 122

---

No. 2
Ti2HgB | PBE | relaxed

a = 6.6887 Å, b = 6.6887 Å, c = 5.5622 Å
α = 53.04°, β = 53.04°, γ = 90.00°
Sites, in units of the cell vectors:
Hg: 0.0000 0.0000 0.0000
Hg: 0.7500 0.2500 0.5000
Ti: 0.8750 0.8077 0.7500
Ti: 0.5577 0.1250 0.2500
Ti: 0.3750 0.4423 0.7500
Ti: 0.1923 0.6250 0.2500
B: 0.5000 0.5000 0.0000
B: 0.2500 0.7500 0.5000

**Size of the total moment**: 0.00 μB per formula unit
**Space-group type**: No. 122
**E above lowest polymorph**: 0.0 meV per atom

---

No. 3
Ti2HgB | PBE | relaxed

a = 4.4234 Å, b = 4.4234 Å, c = 4.4234 Å
α = 60.00°, β = 60.00°, γ = 60.00°
Site moments in Bohr magnetons follow the coordinates.
Sites, in units of the cell vectors:
Hg: 0.5000 0.5000 0.5000  0.00
Ti: 0.7500 0.7500 0.7500  0.32
Ti: 0.2500 0.2500 0.2500  0.32
B: 0.0000 0.0000 0.0000  -0.01

**Size of the total moment**: 0.76 μB per formula unit
**Space-group type**: No. 225
**E above lowest polymorph**: 149.5 meV per atom

---

No. 4
TiHgB3 | PBE | relaxed

a = 4.2470 Å, b = 4.2470 Å, c = 4.2470 Å
α = 90.00°, β = 90.00°, γ = 90.00°
Sites, in units of the cell vectors:
B: 0.0000 0.5000 0.0000
B: 0.0000 0.0000 0.5000
B: 0.5000 0.0000 0.0000
Hg: 0.5000 0.5000 0.5000
Ti: 0.0000 0.0000 0.0000

**E**: -0.2965 Ry/atom
**Size of the total moment**: 0.00 μB per formula unit
**Space-group type**: No. 221

---

No. 5
Ti2HgBW | PBE | relaxed

a = 4.3324 Å, b = 4.1980 Å, c = 4.3324 Å
α = 90.00°, β = 90.00°, γ = 90.00°
Sites, in units of the cell vectors:
W: 0.0000 0.5000 0.0000
B: 0.0000 0.0000 0.0000
Ti: 0.0000 0.0000 0.5000
Ti: 0.5000 0.0000 0.0000
Hg: 0.5000 0.5000 0.5000

**E**: -0.5301 Ry/atom
**Size of the total moment**: 0.00 μB per formula unit
**Space-group type**: No. 123

---

No. 6
YTiHgB2 | PBE | relaxed

a = 4.3848 Å, b = 5.2162 Å, c = 4.3848 Å
α = 90.00°, β = 90.00°, γ = 90.00°
Sites, in units of the cell vectors:
Ti: 0.0000 0.0000 0.0000
B: 0.5000 0.0000 0.0000
B: 0.0000 0.0000 0.5000
Y: 0.0000 0.5000 0.0000
Hg: 0.5000 0.5000 0.5000

**E**: -0.3292 Ry/atom
**Size of the total moment**: 0.00 μB per formula unit
**Space-group type**: No. 123

---

No. 7
Zr2TiHgB | PBE | relaxed

a = 4.6398 Å, b = 4.6398 Å, c = 4.3697 Å
α = 90.00°, β = 90.00°, γ = 90.00°
Sites, in units of the cell vectors:
Zr: 0.0000 0.5000 0.0000
Zr: 0.5000 0.0000 0.0000
Hg: 0.5000 0.5000 0.5000
B: 0.0000 0.0000 0.0000
Ti: 0.0000 0.0000 0.5000

**E**: -0.4912 Ry/atom
**Size of the total moment**: 0.00 μB per formula unit
**Space-group type**: No. 123

---

No. 8
TlHgB3 | PBE | relaxed

a = 4.5159 Å, b = 4.5159 Å, c = 4.5159 Å
α = 90.00°, β = 90.00°, γ = 90.00°
Sites, in units of the cell vectors:
B: 0.0000 0.5000 0.0000
B: 0.5000 0.0000 0.0000
B: 0.0000 0.0000 0.5000
Hg: 0.0000 0.0000 0.0000
Tl: 0.5000 0.5000 0.5000

**Size of the total moment**: 0.00 μB per formula unit
**Space-group type**: No. 221
**E above lowest polymorph**: 0.0 meV per atom

---

What did the seventh record say?
Zr2TiHgB | PBE | relaxed

a = 4.6398 Å, b = 4.6398 Å, c = 4.3697 Å
α = 90.00°, β = 90.00°, γ = 90.00°
Sites, in units of the cell vectors:
Zr: 0.0000 0.5000 0.0000
Zr: 0.5000 0.0000 0.0000
Hg: 0.5000 0.5000 0.5000
B: 0.0000 0.0000 0.0000
Ti: 0.0000 0.0000 0.5000

**E**: -0.4912 Ry/atom
**Size of the total moment**: 0.00 μB per formula unit
**Space-group type**: No. 123

---

Question: size of the total moment of number 5 (Ti2HgBW)?
Answer: 0.00 μB per formula unit

---

Question: The highest size of the total moment belongs to which entry?
Answer: number 3

---

Question: Which value of size of the total moment does entry 1 give?
Answer: 0.00 μB per formula unit